Entry 1:
# CsCd4As3, relaxed, DFT PBE
data_CsCd4As3
_space_group_name_H-M_alt 'P 4/m m m'
_space_group_IT_number 123
_space_group_name_Hall '-P 4 2'
_cell_length_a 4.579
_cell_length_b 4.579
_cell_length_c 10.983
_cell_angle_alpha 90.00
_cell_angle_beta 90.00
_cell_angle_gamma 90.00
loop_
_atom_site_label
_atom_site_fract_x
_atom_site_fract_y
_atom_site_fract_z
_atom_site_occupancy
Cs1 0.000 0.000 0.000 1
Cd1 0.000 0.500 0.337 1
As1 0.000 0.000 0.500 1
As2 0.500 0.500 0.200 1
# Mass density in g/cm3: 5.822
# Raw total energy in eV/cell: -20.54

Entry 2:
# CsCd8As6, relaxed, DFT PBE
data_CsCd8As6
_space_group_name_H-M_alt 'R -3'
_space_group_IT_number 148
_space_group_name_Hall '-R 3'
_cell_length_a 7.6405
_cell_length_b 7.6405
_cell_length_c 23.2207
_cell_angle_alpha 90.00
_cell_angle_beta 90.00
_cell_angle_gamma 120.00
loop_
_atom_site_label
_atom_site_fract_x
_atom_site_fract_y
_atom_site_fract_z
_atom_site_occupancy
Cs1 0.0000 0.0000 0.0000 1
Cd1 0.0000 0.0000 0.3294 1
Cd2 0.0088 0.3144 0.1264 1
As1 0.0070 0.3681 0.9174 1
# Mass density in g/cm3: 6.288
# Raw total energy in eV/cell: -111.11

Number 1: calculated formation energy -0.2591 eV/atom. Number 2: calculated formation energy -0.0644 eV/atom.